1.
First-principles (PBE) data for a relaxed structure of LiCuPt2, as listed in Alexandria.

Lattice parameters (Å, degrees): 2.8204 4.3580 9.0240 90.00 90.00 90.00
Last column: nearest neighbours and their distance in Å.
Space group Imm2 (No. 44)
Asymmetric unit:
Li1 0.0000 0.0000 0.0000  6 Pt 2.60-2.67, 2 Cu 2.61, 2 Li 2.82
Cu1 0.0000 0.5000 0.2566  6 Pt 2.60-2.63, 2 Li 2.61, 2 Cu 2.82
Pt1 0.0000 0.0000 0.5108  4 Li 2.60, 2 Cu 2.63, 4 Pt 2.73-2.82
Pt2 0.0000 0.5000 0.7512  4 Cu 2.60, 2 Li 2.67, 4 Pt 2.73-2.82


2.
First-principles (PBE) data for a relaxed structure of LiCuPt2, as listed in Alexandria.

Lattice parameters (Å, degrees): 2.7954 4.6304 8.8137 90.00 90.00 90.00
Last column: nearest neighbours and their distance in Å.
Space group Cmmm (No. 65)
Asymmetric unit:
Li1 0.0000 0.0000 0.0000  4 Pt 2.59, 6 Li 2.70-2.80
Cu1 0.0000 0.0000 0.5000  4 Pt 2.63, 6 Cu 2.70-2.80
Pt1 0.0000 0.5000 0.2477  2 Li 2.59, 2 Cu 2.63, 6 Pt 2.70-2.80


Most stable = 2


1.
First-principles (PBE) data for a relaxed structure of LiCuPt2, as listed in Alexandria.

Lattice parameters (Å, degrees): 6.1244 6.1244 6.1244 90.00 90.00 90.00
Last column: nearest neighbours and their distance in Å.
Space group F-43m (No. 216)
Asymmetric unit:
Li1 0.0000 0.0000 0.0000  4 Pt 2.65, 4 Cu 2.65
Cu1 0.2500 0.2500 0.7500  4 Li 2.65, 4 Pt 2.65
Pt1 0.0000 0.0000 0.5000  4 Cu 2.65, 4 Pt 2.65
Pt2 0.2500 0.2500 0.2500  4 Li 2.65, 4 Pt 2.65


2.
First-principles (PBE) data for a relaxed structure of LiCuPt2, as listed in Alexandria.

Lattice parameters (Å, degrees): 3.8617 3.8617 3.7118 90.00 90.00 90.00
Last column: nearest neighbours and their distance in Å.
Space group P4/mmm (No. 123)
Asymmetric unit:
Li1 0.0000 0.0000 0.0000  8 Pt 2.68, 4 Cu 2.73
Cu1 0.5000 0.5000 0.0000  8 Pt 2.68, 4 Li 2.73
Pt1 0.0000 0.5000 0.5000  4 Li 2.68, 4 Cu 2.68, 4 Pt 2.73


3.
First-principles (PBE) data for a relaxed structure of LiCuPt2, as listed in Alexandria.

Lattice parameters (Å, degrees): 3.7645 3.7645 17.5334 90.00 90.00 90.00
Last column: nearest neighbours and their distance in Å.
Space group I-42d (No. 122)
Asymmetric unit:
Li1 0.0000 0.0000 0.0000  4 Pt 2.56, 4 Cu 2.66
Cu1 0.0000 0.0000 0.5000  4 Pt 2.57, 4 Li 2.66
Pt1 0.2480 0.2500 0.1250  2 Li 2.56, 2 Cu 2.57, 4 Pt 2.65-2.67


Most stable = 2


1.
First-principles (PBE) data for a relaxed structure of LiCuPt2, as listed in Alexandria.

Lattice parameters (Å, degrees): 2.7442 2.7442 25.9892 90.00 90.00 120.00
Last column: nearest neighbours and their distance in Å.
Space group R3m (No. 160, hexagonal axes)
Asymmetric unit:
Li1 0.0000 0.0000 0.0000  6 Pt 2.68, 6 Li 2.74
Cu1 0.0000 0.0000 0.1666  6 Pt 2.69, 6 Cu 2.74
Pt1 0.0000 0.0000 0.4164  3 Li 2.68, 3 Cu 2.69, 6 Pt 2.74
Pt2 0.0000 0.0000 0.5836  3 Li 2.68, 3 Cu 2.69, 6 Pt 2.74


2.
First-principles (PBE) data for a relaxed structure of LiCuPt2, as listed in Alexandria.

Lattice parameters (Å, degrees): 2.7550 2.7550 25.7388 90.00 90.00 120.00
Last column: nearest neighbours and their distance in Å.
Space group R-3m (No. 166, hexagonal axes)
Asymmetric unit:
Li1 0.0000 0.0000 0.0000  6 Pt 2.67, 6 Li 2.76
Cu1 0.0000 0.0000 0.5000  6 Pt 2.67, 6 Cu 2.76
Pt1 0.0000 0.0000 0.2501  3 Li 2.67, 3 Cu 2.67, 6 Pt 2.76


Most stable = 2